(1)
This record from Alexandria describes a geometry-optimized Be2SbPb structure. The functional is GGA-PBE.

abc: 3.6114 3.5498 6.2814
angles: 90.00 95.25 90.00
Space group P2/m (No. 10)
One atom of each set of equivalent atoms:
Be  0.0354  0.0000  0.1683 x2
Sb  0.5000  0.5000  0.0000 x1
Pb  0.0000  0.5000  0.5000 x1

## Properties
relative energy among the computed polymorphs	245.9	meV per atom
VASP energy	-3.28	eV/atom
ΔE_f (raw)	545.4	meV per atom
crystal system	monoclinic

***

(2)
This record from Alexandria describes a geometry-optimized In2CoRh structure. The functional is GGA-PBE.

abc: 6.4602 6.4602 6.4602
angles: 90.00 90.00 90.00
Space group F-43m (No. 216)
One atom of each set of equivalent atoms:
In  0.0000  0.0000  0.0000 x4
In  0.2500  0.2500  0.2500 x4
Co  0.2500  0.2500  0.7500 x4
Rh  0.0000  0.0000  0.5000 x4

## Properties
VASP energy	-4.77	eV/atom
DFT formation energy	215	meV per atom
crystal system	cubic

***

(3)
This record from Alexandria describes a geometry-optimized MgFeSe2 structure. The functional is GGA-PBE.

abc: 3.5803 7.2526 7.2705
angles: 90.00 90.00 90.00
Space group Immm (No. 71)
One atom of each set of equivalent atoms:
Mg  0.0000  0.0000  0.0000 x2
Fe  0.0000  0.0000  0.5000 x2
Se  0.0000  0.5000  0.2331 x4

## Properties
VASP energy	-4.51	eV/atom
ΔE_f (raw)	-250.8	meV per atom
crystal system	orthorhombic